Compound: La3TbNd2Sm6
Source: Alexandria via LeMat-Bulk
Functional: PBE
Structure: optimized geometry

Cell and atoms, written as POSCAR:
```
La3TbNd2Sm6
1.0
6.350 -0.003 0.002
-3.176 5.499 0.002
-1.067 -1.848 11.936
La Tb Nd Sm
3 1 2 6
Direct
0.166 0.834 0.500
0.834 0.166 0.500
0.500 0.500 0.500
0.000 0.000 0.000
0.333 0.667 0.000
0.667 0.333 0.000
0.918 0.585 0.753
0.749 0.749 0.247
0.082 0.415 0.247
0.585 0.918 0.753
0.251 0.251 0.753
0.415 0.082 0.247
```

**Total moment**: 0.0 μB per cell
**ΔE_f**: 16 meV per atom
**Density of states at the Fermi level**: 19.02 states/eV per cell

---

Compound: La3TbNdSm
Source: Alexandria via LeMat-Bulk
Functional: PBE
Structure: optimized geometry

Cell and atoms, written as POSCAR:
```
La3TbNdSm
1.0
-4.905 2.008 -2.644
5.198 -5.935 -7.517
-3.368 -5.671 1.940
La Tb Nd Sm
6 2 2 2
Direct
0.840 0.679 0.278
0.780 0.559 0.783
0.484 0.968 0.263
0.220 0.441 0.217
0.516 0.032 0.737
0.160 0.321 0.722
0.651 0.302 0.461
0.349 0.698 0.539
0.059 0.118 0.246
0.941 0.882 0.754
0.361 0.721 0.995
0.639 0.279 0.005
```

**Total moment**: 0.0 μB per cell
**ΔE_f**: 144 meV per atom
**Density of states at the Fermi level**: 16.92 states/eV per cell

---

Compound: La2Tb2Nd2Sm
Source: Alexandria via LeMat-Bulk
Functional: PBE
Structure: optimized geometry

Cell and atoms, written as POSCAR:
```
La2Tb2Nd2Sm
1.0
5.175 0.000 0.000
-2.588 5.775 0.291
0.000 -1.559 8.057
La Tb Nd Sm
2 2 2 1
Direct
0.142 0.284 0.427
0.858 0.716 0.573
0.571 0.141 0.716
0.429 0.859 0.284
0.715 0.430 0.141
0.285 0.570 0.859
0.000 0.000 0.000
```

**Total moment**: 0.0 μB per cell
**ΔE_f**: 22 meV per atom
**Density of states at the Fermi level**: 11.84 states/eV per cell

---

Compound: La4Tb2Nd2Sm
Source: Alexandria via LeMat-Bulk
Functional: PBE
Structure: optimized geometry

Cell and atoms, written as POSCAR:
```
La4Tb2Nd2Sm
1.0
-5.188 -0.407 0.263
3.046 -0.545 7.613
-0.715 7.969 -1.789
La Tb Nd Sm
4 2 2 1
Direct
0.777 0.554 0.666
0.223 0.446 0.334
0.554 0.109 0.334
0.446 0.891 0.666
0.889 0.778 0.331
0.111 0.222 0.669
0.333 0.667 0.999
0.667 0.333 0.001
0.000 0.000 0.000
```

**Total moment**: 0.0 μB per cell
**ΔE_f**: 19 meV per atom
**Density of states at the Fermi level**: 15.26 states/eV per cell